<P>
# Mg5Pb4

A PBEsol-optimized structure of Mg5Pb4 (SCAN, Alexandria).

Volume ... 24.95 Å³ per atom
Space group ... P6_3/mcm

a = 6.247 Å, b = 9.112 Å, c = 9.112 Å
α = 120.00°, β = 90.00°, γ = 90.00°
Fractional coordinates of all 18 atoms:
Mg 0.750 0.000 0.698
Mg 0.750 0.698 0.000
Mg 0.750 0.302 0.302
Mg 0.250 0.000 0.302
Mg 0.250 0.302 0.000
Mg 0.250 0.698 0.698
Mg 0.000 0.333 0.667
Mg 0.500 0.667 0.333
Mg 0.000 0.667 0.333
Mg 0.500 0.333 0.667
Pb 0.000 0.000 0.000
Pb 0.500 0.000 0.000
Pb 0.750 0.000 0.371
Pb 0.750 0.371 0.000
Pb 0.750 0.629 0.629
Pb 0.250 0.000 0.629
Pb 0.250 0.629 0.000
Pb 0.250 0.371 0.371

<Q>
# Mg5Pb4

A PBEsol-optimized structure of Mg5Pb4 (SCAN, Alexandria).

Volume ... 25.23 Å³ per atom
Space group ... I4/mmm

a = 4.735 Å, b = 7.318 Å, c = 7.318 Å
α = 83.99°, β = 71.12°, γ = 71.12°
Fractional coordinates of all 9 atoms:
Mg 0.000 0.000 0.000
Mg 0.664 0.000 0.672
Mg 0.336 0.000 0.328
Mg 0.664 0.672 0.000
Mg 0.336 0.328 0.000
Pb 0.000 0.686 0.314
Pb 0.000 0.314 0.686
Pb 0.686 0.314 0.314
Pb 0.314 0.686 0.686

Quick one: least stable of them? <Q>

<P>
# Mg5Pb3

A PBEsol-optimized structure of Mg5Pb3 (SCAN, Alexandria).

Volume ... 24.74 Å³ per atom
Space group ... P6_3/mcm

a = 5.923 Å, b = 8.784 Å, c = 8.784 Å
α = 120.00°, β = 90.00°, γ = 90.00°
Fractional coordinates of all 16 atoms:
Mg 0.000 0.667 0.333
Mg 0.500 0.333 0.667
Mg 0.000 0.333 0.667
Mg 0.500 0.667 0.333
Mg 0.750 0.780 0.780
Mg 0.250 0.220 0.220
Mg 0.750 0.000 0.220
Mg 0.750 0.220 0.000
Mg 0.250 0.780 0.000
Mg 0.250 0.000 0.780
Pb 0.750 0.400 0.400
Pb 0.250 0.600 0.600
Pb 0.750 0.000 0.600
Pb 0.750 0.600 0.000
Pb 0.250 0.400 0.000
Pb 0.250 0.000 0.400

<Q>
# Mg5Pb3

A PBEsol-optimized structure of Mg5Pb3 (SCAN, Alexandria).

Volume ... 24.44 Å³ per atom
Space group ... Cmmm

a = 4.645 Å, b = 6.502 Å, c = 6.502 Å
α = 95.37°, β = 90.00°, γ = 90.00°
Fractional coordinates of all 8 atoms:
Mg 0.000 0.000 0.000
Mg 0.000 0.000 0.500
Mg 0.000 0.500 0.000
Mg 0.500 0.264 0.264
Mg 0.500 0.736 0.736
Pb 0.000 0.500 0.500
Pb 0.500 0.777 0.223
Pb 0.500 0.223 0.777

Quick one: least stable of them? <P>

<P>
# MgRe2Pb

A PBEsol-optimized structure of MgRe2Pb (SCAN, Alexandria).

Volume ... 17.32 Å³ per atom
Space group ... Cmmm

a = 2.960 Å, b = 5.097 Å, c = 5.097 Å
α = 115.67°, β = 90.00°, γ = 90.00°
Fractional coordinates of all 4 atoms:
Mg 0.500 0.000 0.000
Pb 0.500 0.500 0.500
Re 0.000 0.500 0.000
Re 0.000 0.000 0.500

<Q>
# MgRe2Pb

A PBEsol-optimized structure of MgRe2Pb (SCAN, Alexandria).

Volume ... 17.77 Å³ per atom
Space group ... Imm2

a = 4.028 Å, b = 4.508 Å, c = 4.946 Å
α = 117.11°, β = 114.03°, γ = 90.00°
Fractional coordinates of all 4 atoms:
Mg 0.493 0.493 0.986
Pb 0.264 0.764 0.527
Re 0.029 0.029 0.058
Re 0.715 0.215 0.430

<R>
# MgRe2Pb

A PBEsol-optimized structure of MgRe2Pb (SCAN, Alexandria).

Volume ... 18.55 Å³ per atom
Space group ... Pmmm

a = 2.851 Å, b = 4.326 Å, c = 6.014 Å
α = 90.00°, β = 90.00°, γ = 90.00°
Fractional coordinates of all 4 atoms:
Mg 0.500 0.500 0.000
Pb 0.500 0.500 0.500
Re 0.000 0.000 0.807
Re 0.000 0.000 0.193

Quick one: least stable of them? <P>

<P>
# MgSi2Pb

A PBEsol-optimized structure of MgSi2Pb (SCAN, Alexandria).

Volume ... 20.16 Å³ per atom
Space group ... I4/mmm

a = 4.195 Å, b = 4.195 Å, c = 5.458 Å
α = 112.60°, β = 112.60°, γ = 90.00°
Fractional coordinates of all 4 atoms:
Mg 0.500 0.500 0.000
Pb 0.000 0.000 0.000
Si 0.750 0.250 0.500
Si 0.250 0.750 0.500

<Q>
# MgSi2Pb

A PBEsol-optimized structure of MgSi2Pb (SCAN, Alexandria).

Volume ... 20.80 Å³ per atom
Space group ... P4/mmm

a = 3.683 Å, b = 3.683 Å, c = 6.132 Å
α = 90.00°, β = 90.00°, γ = 90.00°
Fractional coordinates of all 4 atoms:
Mg 0.500 0.500 0.000
Pb 0.500 0.500 0.500
Si 0.000 0.000 0.807
Si 0.000 0.000 0.193

<R>
# MgSi2Pb

A PBEsol-optimized structure of MgSi2Pb (SCAN, Alexandria).

Volume ... 20.88 Å³ per atom
Space group ... Fm-3m

a = 4.907 Å, b = 4.907 Å, c = 4.907 Å
α = 60.00°, β = 60.00°, γ = 60.00°
Fractional coordinates of all 4 atoms:
Mg 0.000 0.000 0.000
Pb 0.500 0.500 0.500
Si 0.250 0.250 0.250
Si 0.750 0.750 0.750

Quick one: least stable of them? <R>